# 1
A geometry-optimized Hf4FeN3 structure. Source: the Open Quantum Materials Database, functional PBE.

a = 3.176 Å, b = 3.176 Å, c = 23.637 Å
α = 90.00°, β = 90.00°, γ = 120.00°
Sites, in units of the cell vectors:
1 Hf 0.000 0.000 0.669
2 Fe 0.667 0.333 0.750
3 N 0.667 0.333 0.389
4 N 0.667 0.333 0.111
5 Hf 0.333 0.667 0.444
6 Hf 0.000 0.000 0.169
7 N 0.000 0.000 0.000
8 Hf 0.000 0.000 0.331
9 Hf 0.000 0.000 0.831
10 Hf 0.667 0.333 0.556
11 N 0.333 0.667 0.611
12 N 0.000 0.000 0.500
13 Hf 0.333 0.667 0.056
14 Hf 0.667 0.333 0.944
15 N 0.333 0.667 0.889
16 Fe 0.333 0.667 0.250

Values from the calculation:
Volume ... 12.903 A^3/atom
Raw total energy ... -10.4218 eV per atom
Total moment ... 0.01 μB per cell

---

# 2
A geometry-optimized Nb2Ga3Co3 structure. Source: the Open Quantum Materials Database, functional PBE.

a = 6.990 Å, b = 6.990 Å, c = 6.990 Å
α = 38.56°, β = 38.56°, γ = 38.56°
Sites, in units of the cell vectors:
1 Co 0.500 0.000 0.500
2 Ga 0.066 0.066 0.066
3 Co 0.000 0.500 0.500
4 Nb 0.795 0.795 0.795
5 Nb 0.205 0.205 0.205
6 Co 0.500 0.500 0.000
7 Ga 0.934 0.934 0.934
8 Ga 0.500 0.500 0.500

Values from the calculation:
Volume ... 14.907 A^3/atom
Raw total energy ... -6.3312 eV per atom
Total moment ... 3.29 μB per cell

---

# 3
A geometry-optimized ErSiAs structure. Source: the Open Quantum Materials Database, functional PBE.

a = 4.639 Å, b = 4.639 Å, c = 4.639 Å
α = 60.00°, β = 60.00°, γ = 60.00°
Sites, in units of the cell vectors:
1 Si 0.000 0.000 0.000
2 As 0.250 0.250 0.250
3 Er 0.750 0.750 0.750

Values from the calculation:
Volume ... 23.535 A^3/atom
Raw total energy ... -5.0088 eV per atom
Total moment ... 0.01 μB per cell

---

# 4
A geometry-optimized Dy2ZrIn3Ir2 structure. Source: the Open Quantum Materials Database, functional PBE.

a = 3.517 Å, b = 7.609 Å, c = 7.609 Å
α = 119.28°, β = 90.00°, γ = 90.00°
Sites, in units of the cell vectors:
1 In 0.000 0.995 0.766
2 Ir 0.000 0.346 0.663
3 Dy 0.500 0.420 0.001
4 In 0.000 0.237 0.237
5 In 0.000 0.766 0.995
6 Zr 0.500 0.574 0.574
7 Dy 0.500 0.001 0.420
8 Ir 0.000 0.663 0.346

Values from the calculation:
Volume ... 22.203 A^3/atom
Raw total energy ... -6.0829 eV per atom
Total moment ... 0.01 μB per cell

---

# 5
A geometry-optimized Y2Mg3Fe2 structure. Source: the Open Quantum Materials Database, functional PBE.

a = 10.706 Å, b = 10.706 Å, c = 3.698 Å
α = 90.00°, β = 90.00°, γ = 158.89°
Sites, in units of the cell vectors:
1 Fe 0.719 0.281 0.000
2 Y 0.173 0.827 0.500
3 Mg 0.580 0.420 0.000
4 Fe 0.281 0.719 0.000
5 Y 0.827 0.173 0.500
6 Mg 0.000 0.000 0.500
7 Mg 0.420 0.580 0.000

Values from the calculation:
Volume ... 21.805 A^3/atom
Raw total energy ... -4.9061 eV per atom
Total moment ... 2.69 μB per cell

---

# 6
A geometry-optimized LuAlIr structure. Source: the Open Quantum Materials Database, functional PBE.

a = 4.473 Å, b = 4.473 Å, c = 4.473 Å
α = 60.00°, β = 60.00°, γ = 60.00°
Sites, in units of the cell vectors:
1 Al 0.250 0.250 0.250
2 Lu 0.750 0.750 0.750
3 Ir 0.000 0.000 0.000

Values from the calculation:
Volume ... 21.095 A^3/atom
Raw total energy ... -6.4421 eV per atom
Total moment ... 0.00 μB per cell